A plane-wave DFT calculation with PBE-GGA was carried out for an optimized crystal structure of NpSb2P2Pt7.

Lattice parameters (Å, degrees): 3.979 3.979 15.172 82.48 82.48 90.02
Positions (direct):
Pt: 0.076 0.576 0.848
Pt: 0.924 0.424 0.152
Pt: 0.424 0.924 0.152
Pt: 0.698 0.698 0.605
Pt: 0.500 0.500 0.000
Pt: 0.576 0.076 0.848
Pt: 0.302 0.302 0.395
Sb: 0.212 0.212 0.576
Sb: 0.788 0.788 0.424
P: 0.380 0.380 0.241
P: 0.620 0.620 0.759
Np: 0.000 0.000 0.000

spin magnetization = 0.2764 μB per atom
SG = I4/mmm, No. 139
E = -6.71 eV per atom
crystal system = tetragonal
calculated volume = 19.67 A^3/atom